The following is a DFT calculation (GGA+U) of a geometry-optimized CrB3O structure.

energy above the most stable polymorph in this dataset: 528 meV per atom
total energy: -21.8 eV per cell
space-group type: Pm-3m, No. 221
magnetization: 0.78 μB/atom

a b c (Å): 3.9873 3.9873 3.9873
angles (deg): 90.00 90.00 90.00
Closest atoms and distances in Å follow each position.
Fractional positions:
Cr: 0.0000 0.0000 0.0000  6 B 1.99
B: 0.0000 0.0000 0.5000  2 Cr 1.99
B: 0.0000 0.5000 0.0000  2 Cr 1.99
B: 0.5000 0.0000 0.0000  2 Cr 1.99
O: 0.5000 0.5000 0.5000  12 B 2.82